Entry 1:
NaZn2W: relaxed, GGA-PBE.

```
NaZn2W
1.0
0.000 3.229 3.229
3.229 0.000 3.229
3.229 3.229 0.000
Na Zn W
1 2 1
Cartesian
0.000 0.000 0.000 Na
1.615 1.615 1.615 Zn
4.844 4.844 4.844 Zn
3.229 3.229 3.229 W
```

Output
Space-group type: No. 225
ΔE_f (eV/atom): 0.75
E above lowest polymorph (meV per atom): 0

Entry 2:
NaZnW2: relaxed, GGA-PBE.

```
NaZnW2
1.0
0.000 3.169 3.169
3.169 0.000 3.169
3.169 3.169 0.000
Na Zn W
1 1 2
Cartesian
0.000 0.000 0.000 Na
3.169 3.169 3.169 Zn
1.584 1.584 1.584 W
4.753 4.753 4.753 W
```

Output
Space-group type: No. 225
ΔE_f (eV/atom): 1.43
E above lowest polymorph (meV per atom): 312

Entry 3:
Na2ZrW: relaxed, GGA-PBE.

```
Na2ZrW
1.0
-4.231 4.231 2.599
4.231 -4.231 2.599
4.231 4.231 -2.599
Na Zr W
4 2 2
Cartesian
6.346 2.000 -0.650 Na
2.000 2.115 0.650 Na
-2.115 2.231 1.949 Na
2.231 2.115 3.248 Na
4.231 0.000 1.299 Zr
0.000 0.000 2.599 Zr
0.000 0.000 0.000 W
0.000 4.231 1.299 W
```

Output
Space-group type: No. 122
ΔE_f (eV/atom): 1.43
E above lowest polymorph (meV per atom): 0

Entry 4:
Na2ZrW: relaxed, GGA-PBE.

```
Na2ZrW
1.0
0.000 3.476 3.476
3.476 0.000 3.476
3.476 3.476 0.000
Na Zr W
2 1 1
Cartesian
1.738 1.738 1.738 Na
5.214 5.214 5.214 Na
0.000 0.000 0.000 Zr
3.476 3.476 3.476 W
```

Output
Space-group type: No. 225
ΔE_f (eV/atom): 1.53
E above lowest polymorph (meV per atom): 96

Entry 5:
NaY3: relaxed, GGA-PBE.

```
NaY3
1.0
0.000 4.010 4.010
4.010 0.000 4.010
4.010 4.010 0.000
Na Y
1 3
Cartesian
0.000 0.000 0.000 Na
2.005 2.005 2.005 Y
4.010 4.010 4.010 Y
6.014 6.014 6.014 Y
```

Output
Space-group type: No. 225
ΔE_f (eV/atom): 0.31
E above lowest polymorph (meV per atom): 101

Entry 6:
Na2Y: relaxed, GGA-PBE.

```
Na2Y
1.0
0.000 4.592 4.592
4.592 0.000 4.592
4.592 4.592 0.000
Na Y
4 2
Cartesian
0.000 0.000 0.000 Na
2.296 2.296 0.000 Na
2.296 0.000 2.296 Na
0.000 2.296 2.296 Na
3.444 3.444 3.444 Y
5.740 5.740 5.740 Y
```

Output
Space-group type: No. 227
ΔE_f (eV/atom): 0.31
E above lowest polymorph (meV per atom): 144

Entry 7:
NaY: relaxed, GGA-PBE.

```
NaY
1.0
3.522 0.000 0.000
0.000 5.791 0.000
0.000 0.000 6.504
Na Y
2 2
Cartesian
0.881 1.448 0.508 Na
2.642 4.343 5.996 Na
0.881 4.343 2.822 Y
2.642 1.448 3.683 Y
```

Output
Space-group type: No. 59
ΔE_f (eV/atom): 0.26
E above lowest polymorph (meV per atom): 0

Entry 8:
NaY: relaxed, GGA-PBE.

```
NaY
1.0
0.000 3.592 3.592
3.592 0.000 3.592
3.592 3.592 0.000
Na Y
1 1
Cartesian
0.000 0.000 0.000 Na
5.387 5.387 5.387 Y
```

Output
Space-group type: No. 216
ΔE_f (eV/atom): 1.48
E above lowest polymorph (meV per atom): 1220

Question: Which value of E above lowest polymorph does entry 3 give?
Answer: 0 meV per atom

Question: What is the ΔE_f in the second record?
Answer: 1.43 eV/atom

Question: What is the ΔE_f in the second record?
Answer: 1.43 eV/atom

Question: Number 7 is which compound?
Answer: NaY